Compound: HgGe2Ir
Source: Alexandria via LeMat-Bulk
Functional: GGA-PBE
Structure: optimized geometry

Cell: 3.4521 3.4521 25.0794 Å, 90.00 90.00 120.00°
Fractional positions:
Hg  0.0000  0.0000  0.0000
Hg  0.3333  0.6667  0.6667
Hg  0.6667  0.3333  0.3333
Ge  0.0000  0.0000  0.1058
Ge  0.0000  0.0000  0.8942
Ge  0.3333  0.6667  0.5609
Ge  0.3333  0.6667  0.7725
Ge  0.6667  0.3333  0.2275
Ge  0.6667  0.3333  0.4391
Ir  0.0000  0.0000  0.5000
Ir  0.3333  0.6667  0.1667
Ir  0.6667  0.3333  0.8333

**V**: 21.57 A^3/atom
**Fermi-level density of states**: 1.22 states/eV/f.u.
**Formation enthalpy at 0 K**: 0.00 eV per formula unit
**Space-group type**: R-3m

---

Compound: HgGeIr2
Source: Alexandria via LeMat-Bulk
Functional: GGA-PBE
Structure: optimized geometry

Cell: 7.1545 7.1545 5.5296 Å, 90.00 90.00 90.00°
Fractional positions:
Hg  0.0000  0.0000  0.0000
Hg  0.0000  0.5000  0.2500
Hg  0.5000  0.0000  0.7500
Hg  0.5000  0.5000  0.5000
Ge  0.0000  0.0000  0.5000
Ge  0.0000  0.5000  0.7500
Ge  0.5000  0.0000  0.2500
Ge  0.5000  0.5000  0.0000
Ir  0.2029  0.7500  0.6250
Ir  0.2500  0.2029  0.3750
Ir  0.2500  0.2971  0.8750
Ir  0.2971  0.7500  0.1250
Ir  0.7029  0.2500  0.1250
Ir  0.7500  0.7029  0.8750
Ir  0.7500  0.7971  0.3750
Ir  0.7971  0.2500  0.6250

**V**: 17.69 A^3/atom
**Fermi-level density of states**: 0.12 states/eV/f.u.
**Polymorph energy (0 for the lowest one)**: 11 meV/atom
**Formation enthalpy at 0 K**: 1.52 eV per formula unit
**Space-group type**: I-42d

---

Compound: Mg2HgGeIr
Source: Alexandria via LeMat-Bulk
Functional: GGA-PBE
Structure: optimized geometry

Cell: 5.1179 5.1179 4.6618 Å, 90.00 90.00 90.00°
Fractional positions:
Mg  0.0000  0.5000  0.0000
Mg  0.5000  0.0000  0.0000
Hg  0.0000  0.0000  0.5000
Ge  0.5000  0.5000  0.5000
Ir  0.5000  0.5000  0.0000

**V**: 24.42 A^3/atom
**Fermi-level density of states**: 2.91 states/eV/f.u.
**Formation enthalpy at 0 K**: -0.90 eV per formula unit
**Space-group type**: P4/mmm

---

- Among the records above, which one has the lowest formation enthalpy at 0 K?
  Mg2HgGeIr

---

Repeat the third record exactly.
Compound: Mg2HgGeIr
Source: Alexandria via LeMat-Bulk
Functional: GGA-PBE
Structure: optimized geometry

Cell: 5.1179 5.1179 4.6618 Å, 90.00 90.00 90.00°
Fractional positions:
Mg  0.0000  0.5000  0.0000
Mg  0.5000  0.0000  0.0000
Hg  0.0000  0.0000  0.5000
Ge  0.5000  0.5000  0.5000
Ir  0.5000  0.5000  0.0000

**V**: 24.42 A^3/atom
**Fermi-level density of states**: 2.91 states/eV/f.u.
**Formation enthalpy at 0 K**: -0.90 eV per formula unit
**Space-group type**: P4/mmm

---

- Look up the Fermi-level density of states of the first one.
  1.22 states/eV/f.u.